# 1
This record from Alexandria describes a relaxed structure of ZrCdIn2. The functional is PBE.

POSCAR file:
```
ZrCdIn2
1.0
2.206 -2.227 0.000
2.206 2.227 0.000
0.000 0.000 9.724
Zr Cd In
1 1 2
Direct
0.000 0.000 0.000
0.500 0.500 0.231
0.000 0.000 0.497
0.500 0.500 0.771
```

Total moment ... 0.00 μB per formula unit
Energy of formation ... -40 meV/atom
Space-group type ... Cmm2 (35)

***

# 2
This record from Alexandria describes a relaxed structure of LiCaIn2Ag2. The functional is PBE.

POSCAR file:
```
LiCaIn2Ag2
1.0
4.845 0.000 0.000
-2.422 4.196 0.000
0.000 0.000 6.656
Li Ca In Ag
1 1 2 2
Direct
0.000 0.000 0.000
0.000 0.000 0.500
0.333 0.667 0.212
0.667 0.333 0.788
0.333 0.667 0.767
0.667 0.333 0.233
```

Total moment ... 0.00 μB per formula unit
Energy of formation ... -297 meV/atom
Space-group type ... P-3m1 (164)

***

# 3
This record from Alexandria describes a relaxed structure of SiAgPd3. The functional is PBE.

POSCAR file:
```
SiAgPd3
1.0
5.601 0.000 0.000
2.707 4.922 0.000
2.299 1.341 6.036
Si Ag Pd
2 2 6
Direct
0.000 0.000 0.000
0.204 0.210 0.447
0.466 0.466 0.654
0.709 0.705 0.152
0.173 0.678 0.308
0.232 0.228 0.089
0.441 0.926 0.747
0.677 0.174 0.308
0.925 0.442 0.750
0.946 0.947 0.681
```

Relative energy among the computed polymorphs ... 0.0 kJ per mole of atoms
Total moment ... 0.00 μB per formula unit
Formation energy from raw total energies ... -1.5 eV/f.u.
Space-group type ... P1 (1)

***

# 4
This record from Alexandria describes a relaxed structure of Dy3Si2NiPt9. The functional is PBE.

POSCAR file:
```
Dy3Si2NiPt9
1.0
5.635 0.000 0.000
-2.817 4.880 0.000
0.000 0.000 11.012
Dy Si Ni Pt
3 2 1 9
Direct
0.000 0.000 0.000
0.333 0.667 0.754
0.667 0.333 0.246
0.333 0.667 0.168
0.667 0.333 0.832
0.000 0.000 0.500
0.000 0.500 0.000
0.163 0.327 0.324
0.163 0.837 0.324
0.327 0.163 0.676
0.500 0.000 0.000
0.500 0.500 0.000
0.673 0.837 0.324
0.837 0.163 0.676
0.837 0.673 0.676
```

Total moment ... 0.00 μB per formula unit
Formation energy from raw total energies ... -11.3 eV/f.u.
Space-group type ... P-3m1 (164)

***

# 5
This record from Alexandria describes a relaxed structure of YMnV3. The functional is PBE.

POSCAR file:
```
YMnV3
1.0
4.445 0.000 0.000
0.000 4.445 0.000
0.000 0.000 4.445
Y Mn V
1 1 3
Direct
0.000 0.000 0.000
0.500 0.500 0.500
0.000 0.500 0.500
0.500 0.000 0.500
0.500 0.500 0.000
```

Relative energy among the computed polymorphs ... 0.0 kJ per mole of atoms
Total moment ... 0.66 μB per formula unit
Energy of formation ... 471 meV/atom
Space-group type ... Pm-3m (221)

***

# 6
This record from Alexandria describes a relaxed structure of AcDy6Ho8. The functional is PBE.

POSCAR file:
```
AcDy6Ho8
1.0
4.509 2.603 6.906
-4.509 2.603 6.906
0.000 -5.207 6.906
Ac Dy Ho
1 6 8
Direct
0.000 0.000 0.000
0.104 0.238 0.533
0.238 0.533 0.104
0.467 0.896 0.762
0.533 0.104 0.238
0.762 0.467 0.896
0.896 0.762 0.467
0.111 0.743 0.719
0.257 0.281 0.889
0.281 0.889 0.257
0.423 0.423 0.423
0.577 0.577 0.577
0.719 0.111 0.743
0.743 0.719 0.111
0.889 0.257 0.281
```

Relative energy among the computed polymorphs ... 0.0 kJ per mole of atoms
Total moment ... 0.00 μB per formula unit
Energy of formation ... 152 meV/atom
Space-group type ... R-3 (148)

***

# 7
This record from Alexandria describes a relaxed structure of Na12SnPb6. The functional is PBE.

POSCAR file:
```
Na12SnPb6
1.0
5.900 3.407 4.908
-5.900 3.407 4.908
0.000 -6.813 4.908
Na Sn Pb
12 1 6
Direct
0.020 0.918 0.315
0.082 0.685 0.980
0.127 0.466 0.360
0.315 0.020 0.918
0.360 0.127 0.466
0.466 0.360 0.127
0.534 0.640 0.873
0.640 0.873 0.534
0.685 0.980 0.082
0.873 0.534 0.640
0.918 0.315 0.020
0.980 0.082 0.685
0.500 0.500 0.500
0.232 0.762 0.623
0.238 0.377 0.768
0.377 0.768 0.238
0.623 0.232 0.762
0.762 0.623 0.232
0.768 0.238 0.377
```

Total moment ... 0.00 μB per formula unit
Energy of formation ... -111 meV/atom
Space-group type ... R-3 (148)